1.
Compound: KGa3Os
Source: Alexandria
Functional: PBE
Structure: relaxed

Geometry as POSCAR:
```
KGa3Os
1.0
9.462 0.000 0.000
0.000 6.534 0.000
-3.415 0.000 8.818
K Ga Os
4 12 4
Direct
0.109 0.239 0.104 K
0.109 0.261 0.604 K
0.891 0.739 0.396 K
0.891 0.761 0.896 K
0.211 0.720 0.271 Ga
0.211 0.780 0.771 Ga
0.353 0.035 0.446 Ga
0.353 0.465 0.946 Ga
0.494 0.650 0.712 Ga
0.494 0.850 0.212 Ga
0.506 0.150 0.788 Ga
0.506 0.350 0.288 Ga
0.647 0.535 0.054 Ga
0.647 0.965 0.554 Ga
0.789 0.220 0.229 Ga
0.789 0.280 0.729 Ga
0.478 0.673 0.437 Os
0.478 0.827 0.937 Os
0.522 0.173 0.063 Os
0.522 0.327 0.563 Os
```

crystal system: monoclinic
total moment: 0.000 μB per formula unit
ΔE_f: 30 kJ/mol of formula units



2.
Compound: KGa3Os
Source: Alexandria
Functional: PBE
Structure: relaxed

Geometry as POSCAR:
```
KGa3Os
1.0
5.083 0.000 0.000
0.000 5.336 0.000
-0.674 0.000 7.512
K Ga Os
2 6 2
Direct
0.016 0.250 0.148 K
0.984 0.750 0.852 K
0.046 0.750 0.342 Ga
0.467 0.750 0.608 Ga
0.500 0.000 0.000 Ga
0.500 0.500 0.000 Ga
0.533 0.250 0.392 Ga
0.954 0.250 0.658 Ga
0.450 0.250 0.724 Os
0.550 0.750 0.276 Os
```

crystal system: monoclinic
total moment: 0.000 μB per formula unit
ΔE_f: 37 kJ/mol of formula units



no.,energy relative to the lowest polymorph listed for this composition (meV per atom)
1,301.8
2,315.6